(1)
Here is a relaxed ZrCoOs2 crystal from the Alexandria database. Energies are from PBE.

Cell and atoms, written as POSCAR:
```
ZrCoOs2
1.0
2.7973 0.0000 0.0000
0.0000 2.7973 0.0000
0.0000 0.0000 7.6799
Zr Co Os
1 1 2
Direct
0.0000 0.0000 0.0000
0.0000 0.0000 0.5000
0.5000 0.5000 0.2921
0.5000 0.5000 0.7079
```

Values from the calculation:
Final energy = -9.381 eV/atom
Density of states at the Fermi level = 1.43 states/eV per atom
Symmetry = P4/mmm, No. 123
Relative energy among the computed polymorphs = 0.73 eV per formula unit
DFT formation energy = 0.147 eV/atom

(2)
Here is a relaxed Er5Mg4Pd crystal from the Alexandria database. Energies are from PBE.

Cell and atoms, written as POSCAR:
```
Er5Mg4Pd
1.0
3.6712 0.0000 0.0000
0.0000 3.6712 0.0000
0.0000 0.0000 18.7685
Er Mg Pd
5 4 1
Direct
0.0000 0.0000 0.0000
0.0000 0.0000 0.2066
0.0000 0.0000 0.4141
0.0000 0.0000 0.5859
0.0000 0.0000 0.7934
0.5000 0.5000 0.1036
0.5000 0.5000 0.3083
0.5000 0.5000 0.6917
0.5000 0.5000 0.8964
0.5000 0.5000 0.5000
```

Values from the calculation:
Final energy = -3.674 eV/atom
Density of states at the Fermi level = 1.05 states/eV per atom
Symmetry = P4/mmm, No. 123
DFT formation energy = -0.235 eV/atom

(3)
Here is a relaxed ZrAgHg crystal from the Alexandria database. Energies are from PBE.

Cell and atoms, written as POSCAR:
```
ZrAgHg
1.0
6.5158 0.0000 0.0000
0.0000 6.5158 0.0000
0.0000 0.0000 6.5158
Zr Ag Hg
4 4 4
Direct
0.0000 0.0000 0.0000
0.0000 0.5000 0.5000
0.5000 0.0000 0.5000
0.5000 0.5000 0.0000
0.2500 0.2500 0.7500
0.2500 0.7500 0.2500
0.7500 0.2500 0.2500
0.7500 0.7500 0.7500
0.0000 0.0000 0.5000
0.0000 0.5000 0.0000
0.5000 0.0000 0.0000
0.5000 0.5000 0.5000
```

Values from the calculation:
Final energy = -3.711 eV/atom
Density of states at the Fermi level = 1.53 states/eV per atom
Symmetry = F-43m, No. 216
DFT formation energy = 0.190 eV/atom

(4)
Here is a relaxed Ac6AsPt2I3 crystal from the Alexandria database. Energies are from PBE.

Cell and atoms, written as POSCAR:
```
Ac6AsPt2I3
1.0
3.9549 -6.8435 0.0000
3.9549 6.8435 0.0000
-2.6353 0.0000 8.3685
Ac As Pt I
6 1 2 3
Direct
0.0881 0.4354 0.8093
0.2161 0.2161 0.1902
0.4354 0.0881 0.8093
0.5646 0.9119 0.1907
0.7839 0.7839 0.8098
0.9119 0.5646 0.1907
0.5000 0.5000 0.0000
0.1671 0.8329 0.0000
0.8329 0.1671 0.0000
0.0000 0.0000 0.5000
0.3391 0.6609 0.5000
0.6609 0.3391 0.5000
```

Values from the calculation:
Final energy = -5.034 eV/atom
Density of states at the Fermi level = 0.94 states/eV per atom
Symmetry = C2/m, No. 12
Uncorrected formation energy = -1198 meV/atom

(5)
Here is a relaxed Ca2CuRu crystal from the Alexandria database. Energies are from PBE.

Cell and atoms, written as POSCAR:
```
Ca2CuRu
1.0
3.4593 0.0000 0.0000
-1.7297 2.9959 0.0000
0.0000 0.0000 25.9432
Ca Cu Ru
6 3 3
Direct
0.0000 0.0000 0.2453
0.0000 0.0000 0.7547
0.3333 0.6667 0.4214
0.3333 0.6667 0.9120
0.6667 0.3333 0.0880
0.6667 0.3333 0.5786
0.0000 0.0000 0.0000
0.3333 0.6667 0.6667
0.6667 0.3333 0.3333
0.0000 0.0000 0.5000
0.3333 0.6667 0.1667
0.6667 0.3333 0.8333
```

Values from the calculation:
Final energy = -3.949 eV/atom
Density of states at the Fermi level = 0.54 states/eV per atom
Symmetry = R-3m, No. 166
DFT formation energy = 0.394 eV/atom

(6)
Here is a relaxed TlGeCl3 crystal from the Alexandria database. Energies are from PBE.

Cell and atoms, written as POSCAR:
```
TlGeCl3
1.0
9.8507 0.0000 0.0000
0.0000 8.6516 0.0000
-4.3741 0.0000 8.9980
Tl Ge Cl
4 4 12
Direct
0.1166 0.2287 0.0738
0.1166 0.2713 0.5738
0.8834 0.7287 0.4262
0.8834 0.7713 0.9262
0.2827 0.6030 0.3789
0.2827 0.8970 0.8789
0.7173 0.1030 0.1211
0.7173 0.3970 0.6211
0.0198 0.5358 0.2212
0.0198 0.9642 0.7212
0.2410 0.6277 0.5933
0.2410 0.8723 0.0932
0.3559 0.1610 0.9161
0.3559 0.3390 0.4161
0.6441 0.6610 0.5839
0.6441 0.8390 0.0839
0.7590 0.1277 0.9068
0.7590 0.3723 0.4068
0.9802 0.0358 0.2788
0.9802 0.4642 0.7788
```

Values from the calculation:
Final energy = -3.422 eV/atom
Density of states at the Fermi level = 0.00 states/eV per atom
Symmetry = P2_1/c, No. 14
Uncorrected formation energy = -917 meV/atom

(7)
Here is a relaxed AcNdDy4S8 crystal from the Alexandria database. Energies are from PBE.

Cell and atoms, written as POSCAR:
```
AcNdDy4S8
1.0
4.0910 2.3619 6.7648
-4.0910 2.3619 6.7648
0.0000 -4.7239 6.7648
Ac Nd Dy S
1 1 4 8
Direct
0.0000 0.0000 0.0000
0.3763 0.3763 0.3763
0.3758 0.3758 0.8676
0.3758 0.8676 0.3758
0.7481 0.7481 0.7481
0.8676 0.3758 0.3758
0.1333 0.1333 0.5811
0.1333 0.5811 0.1333
0.1390 0.6247 0.6247
0.1397 0.1397 0.1397
0.5811 0.1333 0.1333
0.6168 0.6168 0.6168
0.6247 0.1390 0.6247
0.6247 0.6247 0.1390
```

Values from the calculation:
Final energy = -6.233 eV/atom
Density of states at the Fermi level = 0.59 states/eV per atom
Symmetry = R3m, No. 160
Uncorrected formation energy = -1925 meV/atom

(8)
Here is a relaxed Pr4PuO10 crystal from the Alexandria database. Energies are from PBE.

Cell and atoms, written as POSCAR:
```
Pr4PuO10
1.0
-4.3704 4.3704 2.8013
4.3704 -4.3704 2.8013
4.3704 4.3704 -2.8013
Pr Pu O
4 1 10
Direct
0.0980 0.3038 0.4017
0.3038 0.9020 0.2058
0.6962 0.0980 0.7942
0.9020 0.6962 0.5983
0.5000 0.5000 0.0000
0.0956 0.1808 0.7258
0.1808 0.4550 0.0852
0.2500 0.7500 0.5000
0.3698 0.0956 0.9148
0.4550 0.3698 0.2742
0.5450 0.6302 0.7258
0.6302 0.9044 0.0852
0.7500 0.2500 0.5000
0.8192 0.5450 0.9148
0.9044 0.8192 0.2742
```

Values from the calculation:
Final energy = -8.417 eV/atom
Density of states at the Fermi level = 0.00 states/eV per atom
Symmetry = I4/m, No. 87
Uncorrected formation energy = -2881 meV/atom

(9)
Here is a relaxed Sm5TmSc4 crystal from the Alexandria database. Energies are from PBE.

Cell and atoms, written as POSCAR:
```
Sm5TmSc4
1.0
-4.9449 4.9449 3.0896
4.9449 -4.9449 3.0896
4.9449 4.9449 -3.0896
Sm Tm Sc
5 1 4
Direct
0.0000 0.0000 0.0000
0.0238 0.4192 0.9015
0.1223 0.0238 0.6045
0.4192 0.5178 0.3955
0.5178 0.1223 0.0985
0.5393 0.5393 0.0000
0.1265 0.7121 0.3016
0.4105 0.8248 0.6984
0.7121 0.4105 0.5856
0.8248 0.1265 0.4144
```

Values from the calculation:
Final energy = -5.003 eV/atom
Density of states at the Fermi level = 1.58 states/eV per atom
Symmetry = I4, No. 79
Relative energy among the computed polymorphs = 2.90 eV per formula unit
DFT formation energy = 0.336 eV/atom

(10)
Here is a relaxed In6HgPb2 crystal from the Alexandria database. Energies are from PBE.

Cell and atoms, written as POSCAR:
```
In6HgPb2
1.0
4.4705 0.0000 0.0000
0.0000 7.1206 4.1185
0.0000 -7.1206 4.1185
In Hg Pb
6 1 2
Direct
0.0000 0.0000 0.0000
0.0000 0.5044 0.7529
0.0000 0.7529 0.5044
0.5000 0.1472 0.7521
0.5000 0.3598 0.3598
0.5000 0.7521 0.1472
0.5000 0.7530 0.7530
0.0000 0.0864 0.4188
0.0000 0.4188 0.0864
```

Values from the calculation:
Final energy = -2.629 eV/atom
Density of states at the Fermi level = 0.37 states/eV per atom
Symmetry = Amm2, No. 38
Relative energy among the computed polymorphs = 0.34 eV per formula unit
DFT formation energy = 0.055 eV/atom

(11)
Here is a relaxed Hf2BeZnIr2 crystal from the Alexandria database. Energies are from PBE.

Cell and atoms, written as POSCAR:
```
Hf2BeZnIr2
1.0
-2.7129 6.7544 2.6438
2.7129 -6.7544 2.6438
2.7129 6.7544 -2.6438
Hf Be Zn Ir
4 2 2 4
Direct
0.1743 0.1934 0.3677
0.3257 0.6934 0.0191
0.6743 0.3066 0.9809
0.8257 0.8066 0.6323
0.2500 0.7500 0.5000
0.7500 0.2500 0.5000
0.2500 0.2500 0.0000
0.7500 0.7500 0.0000
0.1273 0.6897 0.8170
0.3727 0.1897 0.5624
0.6273 0.8103 0.4376
0.8727 0.3103 0.1830
```

Values from the calculation:
Final energy = -7.785 eV/atom
Density of states at the Fermi level = 0.57 states/eV per atom
Symmetry = Ibam, No. 72
DFT formation energy = -0.680 eV/atom

(12)
Here is a relaxed Sr4TlIn2 crystal from the Alexandria database. Energies are from PBE.

Cell and atoms, written as POSCAR:
```
Sr4TlIn2
1.0
6.3621 0.0000 0.0000
0.0000 6.3621 0.0000
0.0000 0.0000 16.2163
Sr Tl In
8 2 4
Direct
0.0000 0.0000 0.1989
0.0000 0.0000 0.8011
0.0000 0.5000 0.0000
0.0000 0.5000 0.5000
0.5000 0.0000 0.0000
0.5000 0.0000 0.5000
0.5000 0.5000 0.3011
0.5000 0.5000 0.6989
0.0000 0.0000 0.0000
0.5000 0.5000 0.5000
0.0000 0.0000 0.4041
0.0000 0.0000 0.5959
0.5000 0.5000 0.0959
0.5000 0.5000 0.9041
```

Values from the calculation:
Final energy = -2.158 eV/atom
Density of states at the Fermi level = 1.22 states/eV per atom
Symmetry = I4/mmm, No. 139
Relative energy among the computed polymorphs = 1.88 eV per formula unit
DFT formation energy = -0.076 eV/atom